1.
Hf3SiTc4: relaxed, PBE.

POSCAR file:
```
Hf3SiTc4
1.0
3.2295 0.0000 0.0000
0.0000 3.2295 0.0000
0.0000 0.0000 12.5873
Hf Si Tc
3 1 4
Direct
0.0000 0.0000 0.0000
0.0000 0.0000 0.2596
0.0000 0.0000 0.7404
0.0000 0.0000 0.5000
0.5000 0.5000 0.1314
0.5000 0.5000 0.3944
0.5000 0.5000 0.6056
0.5000 0.5000 0.8686
```

V (Å³/atom): 16.411
Magnetization (μB/atom): 0.00
Space-group type: P4/mmm, No. 123
E_form (uncorrected) (eV per atom): -0.451

***

2.
SmCuNi2: relaxed, PBE.

POSCAR file:
```
SmCuNi2
1.0
2.5434 1.4684 8.1940
-2.5434 1.4684 8.1940
0.0000 -2.9368 8.1940
Sm Cu Ni
3 3 6
Direct
0.0000 0.0000 0.0000
0.1374 0.1374 0.1374
0.8626 0.8626 0.8626
0.3333 0.3333 0.3333
0.5000 0.5000 0.5000
0.6667 0.6667 0.6667
0.0804 0.5831 0.5831
0.4169 0.4169 0.9196
0.4169 0.9196 0.4169
0.5831 0.0804 0.5831
0.5831 0.5831 0.0804
0.9196 0.4169 0.4169
```

Formation energy (eV/atom): -0.32
V (Å³/atom): 15.301
Magnetization (μB/atom): 0.00
Space-group type: R-3m, No. 166

***

3.
Nb3CrBi: relaxed, PBE.

POSCAR file:
```
Nb3CrBi
1.0
5.1609 0.0000 0.0000
0.0000 5.1609 0.0000
0.0000 0.0000 5.1609
Nb Cr Bi
3 1 1
Direct
0.0000 0.0000 0.5000
0.0000 0.5000 0.0000
0.5000 0.0000 0.0000
0.5000 0.5000 0.5000
0.0000 0.0000 0.0000
```

Formation energy (eV/atom): 2.11
V (Å³/atom): 27.492
Magnetization (μB/atom): 0.46
Space-group type: Pm-3m, No. 221

***

4.
NaCaMgCd: relaxed, PBE.

POSCAR file:
```
NaCaMgCd
1.0
0.0000 3.7723 3.7723
3.7723 0.0000 3.7723
3.7723 3.7723 0.0000
Na Ca Mg Cd
1 1 1 1
Direct
0.0000 0.0000 0.0000
0.2500 0.2500 0.2500
0.7500 0.7500 0.7500
0.5000 0.5000 0.5000
```

Formation energy (eV/atom): -0.10
V (Å³/atom): 26.840
Magnetization (μB/atom): 0.00
Space-group type: F-43m, No. 216

***

5.
NdDyMg: relaxed, PBE.

POSCAR file:
```
NdDyMg
1.0
2.6315 -6.5064 0.0000
2.6315 6.5064 0.0000
0.0000 0.0000 5.2788
Nd Dy Mg
2 2 2
Direct
0.0905 0.9095 0.7500
0.9095 0.0905 0.2500
0.4075 0.5925 0.7500
0.5925 0.4075 0.2500
0.2497 0.7503 0.2500
0.7503 0.2497 0.7500
```

Formation energy (eV/atom): -0.05
V (Å³/atom): 30.127
Magnetization (μB/atom): 0.00
Space-group type: Cmcm, No. 63

***

6.
KCaOs2: relaxed, PBE.

POSCAR file:
```
KCaOs2
1.0
1.4351 0.8286 10.6750
-1.4351 0.8286 10.6750
0.0000 -1.6571 10.6750
K Ca Os
1 1 2
Direct
0.0000 0.0000 0.0000
0.5000 0.5000 0.5000
0.2437 0.2437 0.2437
0.7563 0.7563 0.7563
```

Formation energy (eV/atom): 1.04
V (Å³/atom): 19.040
Magnetization (μB/atom): 0.15
Space-group type: R-3m, No. 166

***

7.
La2AgHg4: relaxed, PBE.

POSCAR file:
```
La2AgHg4
1.0
2.5955 1.4985 8.5255
-2.5955 1.4985 8.5255
0.0000 -2.9970 8.5255
La Ag Hg
2 1 4
Direct
0.2471 0.2471 0.2471
0.7529 0.7529 0.7529
0.5000 0.5000 0.5000
0.1232 0.1232 0.1232
0.3728 0.3728 0.3728
0.6272 0.6272 0.6272
0.8768 0.8768 0.8768
```

Formation energy (eV/atom): -0.32
V (Å³/atom): 28.421
Magnetization (μB/atom): 0.00
Space-group type: R-3m, No. 166

***

8.
HgH2Pb: relaxed, PBE.

POSCAR file:
```
HgH2Pb
1.0
1.7732 1.0238 6.3079
-1.7732 1.0238 6.3079
0.0000 -2.0476 6.3079
Hg H Pb
1 2 1
Direct
0.0000 0.0000 0.0000
0.3347 0.3347 0.3347
0.7842 0.7842 0.7842
0.1748 0.1748 0.1748
```

V (Å³/atom): 17.177
Final energy (eV/atom): -2.20
Magnetization (μB/atom): 0.00
Space-group type: R3m, No. 160

***

Question: Which value of magnetization does entry 1 give?
Answer: 0.00 μB/atom